Here is a relaxed KCl2O2 crystal from Alexandria. Energies are from PBE.

As for the space-group type: I4/mmm.

a = 4.508 Å, b = 4.508 Å, c = 6.025 Å
α = 68.03°, β = 68.03°, γ = 90.00°
Fractional coordinates of all 5 atoms:
K  0.000  0.000  0.000
O  0.750  0.250  0.500
O  0.250  0.750  0.500
Cl  0.280  0.280  0.440
Cl  0.720  0.720  0.560


Here is a relaxed KCl2O2 crystal from Alexandria. Energies are from PBE.

As for the space-group type: P-1.

a = 4.956 Å, b = 5.081 Å, c = 16.271 Å
α = 96.50°, β = 83.68°, γ = 59.74°
Fractional coordinates of all 10 atoms:
K  0.158  0.570  0.754
K  0.842  0.430  0.246
Cl  0.543  0.850  0.671
Cl  0.422  0.970  0.837
Cl  0.457  0.150  0.329
Cl  0.578  0.030  0.163
O  0.032  0.888  0.473
O  0.644  0.447  0.998
O  0.968  0.112  0.527
O  0.356  0.553  0.002


Here is a relaxed K2ClO2 crystal from Alexandria. Energies are from PBE.

As for the space-group type: P4/mbm.

a = 6.735 Å, b = 6.735 Å, c = 3.980 Å
α = 90.00°, β = 90.00°, γ = 90.00°
Fractional coordinates of all 10 atoms:
K  0.153  0.653  0.500
K  0.653  0.847  0.500
K  0.847  0.347  0.500
K  0.347  0.153  0.500
O  0.333  0.833  0.000
O  0.833  0.667  0.000
O  0.667  0.167  0.000
O  0.167  0.333  0.000
Cl  0.000  0.000  0.000
Cl  0.500  0.500  0.000


Here is a relaxed K4Cl2O crystal from Alexandria. Energies are from PBE.

As for the space-group type: C2/m.

a = 4.078 Å, b = 7.318 Å, c = 8.032 Å
α = 65.31°, β = 75.29°, γ = 73.82°
Fractional coordinates of all 7 atoms:
K  0.037  0.260  0.666
K  0.963  0.740  0.334
K  0.357  0.212  0.074
K  0.643  0.788  0.926
Cl  0.348  0.621  0.683
Cl  0.652  0.379  0.317
O  0.000  0.000  0.000


What did we get for formation energy from raw total energies? Answer: 0.095 -0.643 -0.520 -1.537 eV/atom, in the order shown.
What did we get for size of the total moment? Answer: 0.0 6.0 1.0 0.1 Bohr magnetons per cell, in the order shown.